A plane-wave DFT calculation with PBEsol was carried out for crystalline TlCd2Ag at its relaxed geometry.

Excess energy over the best structure of this formula in the dataset: 0.0 kJ per mole of atoms
E_tot: -2.061 eV per atom
Magnetization: 0.000 Bohr magnetons per cell
Density of states at the Fermi level: 1.317 states/eV/cell
ΔE_f: 0.023 eV/atom

a b c (Å): 3.0732 3.2621 8.5721
angles (deg): 90.00 90.00 90.00
Atoms (fractional coordinates):
Tl  0.0000  0.0000  0.0000
Cd  0.5000  0.5000  0.2873
Cd  0.5000  0.5000  0.7127
Ag  0.0000  0.0000  0.5000


A plane-wave DFT calculation with PBEsol was carried out for crystalline Tl2CdAg at its relaxed geometry.

Excess energy over the best structure of this formula in the dataset: 8.3 kJ per mole of atoms
E_tot: -2.314 eV per atom
Magnetization: 0.001 Bohr magnetons per cell
Density of states at the Fermi level: 5.996 states/eV/cell
ΔE_f: 0.128 eV/atom

a b c (Å): 7.1842 7.1842 7.1842
angles (deg): 90.00 90.00 90.00
Atoms (fractional coordinates):
Tl  0.2500  0.2500  0.2500
Tl  0.2500  0.2500  0.7500
Tl  0.2500  0.7500  0.2500
Tl  0.2500  0.7500  0.7500
Tl  0.7500  0.2500  0.2500
Tl  0.7500  0.2500  0.7500
Tl  0.7500  0.7500  0.2500
Tl  0.7500  0.7500  0.7500
Cd  0.0000  0.0000  0.0000
Cd  0.0000  0.5000  0.5000
Cd  0.5000  0.0000  0.5000
Cd  0.5000  0.5000  0.0000
Ag  0.0000  0.0000  0.5000
Ag  0.0000  0.5000  0.0000
Ag  0.5000  0.0000  0.0000
Ag  0.5000  0.5000  0.5000


A plane-wave DFT calculation with PBEsol was carried out for crystalline TlCd2Ag at its relaxed geometry.

Excess energy over the best structure of this formula in the dataset: 2.8 kJ per mole of atoms
E_tot: -2.031 eV per atom
Magnetization: 0.000 Bohr magnetons per cell
Density of states at the Fermi level: 1.489 states/eV/cell
ΔE_f: 0.053 eV/atom

a b c (Å): 3.1167 3.1167 8.7306
angles (deg): 90.00 90.00 90.00
Atoms (fractional coordinates):
Tl  0.0000  0.0000  0.0000
Cd  0.0000  0.0000  0.5286
Cd  0.5000  0.5000  0.2842
Ag  0.5000  0.5000  0.7437


A plane-wave DFT calculation with PBEsol was carried out for crystalline Cd2AgW at its relaxed geometry.

E_tot: -4.071 eV per atom
Magnetization: 8.325 Bohr magnetons per cell
Density of states at the Fermi level: 13.265 states/eV/cell
ΔE_f: 0.807 eV/atom

a b c (Å): 6.5928 6.5928 6.5928
angles (deg): 90.00 90.00 90.00
Atoms (fractional coordinates):
Cd  0.0000  0.0000  0.0000
Cd  0.0000  0.5000  0.5000
Cd  0.2500  0.2500  0.2500
Cd  0.2500  0.7500  0.7500
Cd  0.5000  0.0000  0.5000
Cd  0.5000  0.5000  0.0000
Cd  0.7500  0.2500  0.7500
Cd  0.7500  0.7500  0.2500
Ag  0.0000  0.0000  0.5000
Ag  0.0000  0.5000  0.0000
Ag  0.5000  0.0000  0.0000
Ag  0.5000  0.5000  0.5000
W  0.2500  0.2500  0.7500
W  0.2500  0.7500  0.2500
W  0.7500  0.2500  0.2500
W  0.7500  0.7500  0.7500


A plane-wave DFT calculation with PBEsol was carried out for crystalline CdAg4W at its relaxed geometry.

E_tot: -4.004 eV per atom
Magnetization: 2.216 Bohr magnetons per cell
Density of states at the Fermi level: 3.438 states/eV/cell
ΔE_f: 0.704 eV/atom

a b c (Å): 5.2978 5.2978 5.2978
angles (deg): 60.00 60.00 60.00
Atoms (fractional coordinates):
Cd  0.0000  0.0000  0.0000
Ag  0.1256  0.6248  0.6248
Ag  0.6248  0.1256  0.6248
Ag  0.6248  0.6248  0.1256
Ag  0.6248  0.6248  0.6248
W  0.2500  0.2500  0.2500


A plane-wave DFT calculation with PBEsol was carried out for crystalline CdAg2W at its relaxed geometry.

E_tot: -4.866 eV per atom
Magnetization: 0.003 Bohr magnetons per cell
Density of states at the Fermi level: 2.804 states/eV/cell
ΔE_f: 0.540 eV/atom

a b c (Å): 2.7313 4.1852 5.8997
angles (deg): 90.00 90.00 90.00
Atoms (fractional coordinates):
Cd  0.0000  0.0000  0.0000
Ag  0.0000  0.0000  0.4941
Ag  0.5000  0.5000  0.7481
W  0.5000  0.5000  0.2634


A plane-wave DFT calculation with PBEsol was carried out for crystalline Y2CdAg2 at its relaxed geometry.

E_tot: -4.634 eV per atom
Magnetization: 0.000 Bohr magnetons per cell
Density of states at the Fermi level: 8.247 states/eV/cell
ΔE_f: -0.341 eV/atom

a b c (Å): 7.7931 7.7931 3.7542
angles (deg): 90.00 90.00 90.00
Atoms (fractional coordinates):
Y  0.1731  0.3269  0.0000
Y  0.3269  0.8269  0.0000
Y  0.6731  0.1731  0.0000
Y  0.8269  0.6731  0.0000
Cd  0.0000  0.0000  0.5000
Cd  0.5000  0.5000  0.5000
Ag  0.1263  0.6263  0.5000
Ag  0.3737  0.1263  0.5000
Ag  0.6263  0.8737  0.5000
Ag  0.8737  0.3737  0.5000


A plane-wave DFT calculation with PBEsol was carried out for crystalline YCd3Ag at its relaxed geometry.

E_tot: -2.567 eV per atom
Magnetization: 0.000 Bohr magnetons per cell
Density of states at the Fermi level: 3.369 states/eV/cell
ΔE_f: 0.178 eV/atom

a b c (Å): 5.0405 5.0405 5.0405
angles (deg): 90.00 90.00 90.00
Atoms (fractional coordinates):
Y  0.0000  0.0000  0.0000
Cd  0.0000  0.5000  0.5000
Cd  0.5000  0.0000  0.5000
Cd  0.5000  0.5000  0.0000
Ag  0.5000  0.5000  0.5000


A plane-wave DFT calculation with PBEsol was carried out for crystalline YCdAg4 at its relaxed geometry.

E_tot: -3.777 eV per atom
Magnetization: 0.000 Bohr magnetons per cell
Density of states at the Fermi level: 2.632 states/eV/cell
ΔE_f: -0.233 eV/atom

a b c (Å): 5.4525 5.4525 5.4525
angles (deg): 60.00 60.00 60.00
Atoms (fractional coordinates):
Y  0.0000  0.0000  0.0000
Cd  0.2500  0.2500  0.2500
Ag  0.1261  0.6246  0.6246
Ag  0.6246  0.1261  0.6246
Ag  0.6246  0.6246  0.1261
Ag  0.6246  0.6246  0.6246


A plane-wave DFT calculation with PBEsol was carried out for crystalline Zn2CdAg at its relaxed geometry.

E_tot: -1.883 eV per atom
Magnetization: 0.000 Bohr magnetons per cell
Density of states at the Fermi level: 1.708 states/eV/cell
ΔE_f: 0.035 eV/atom

a b c (Å): 3.2912 4.4703 8.8251
angles (deg): 90.00 90.00 90.00
Atoms (fractional coordinates):
Zn  0.0000  0.0000  0.2421
Zn  0.0000  0.0000  0.7579
Zn  0.5000  0.5000  0.2579
Zn  0.5000  0.5000  0.7421
Cd  0.0000  0.5000  0.0000
Cd  0.5000  0.0000  0.5000
Ag  0.0000  0.5000  0.5000
Ag  0.5000  0.0000  0.0000


A plane-wave DFT calculation with PBEsol was carried out for crystalline ZnCdAg2 at its relaxed geometry.

E_tot: -2.386 eV per atom
Magnetization: 0.000 Bohr magnetons per cell
Density of states at the Fermi level: 1.923 states/eV/cell
ΔE_f: -0.035 eV/atom

a b c (Å): 5.8402 7.8288 2.9159
angles (deg): 90.00 90.00 90.00
Atoms (fractional coordinates):
Zn  0.0000  0.0000  0.0000
Zn  0.5000  0.5000  0.0000
Cd  0.0000  0.5000  0.0000
Cd  0.5000  0.0000  0.0000
Ag  0.2500  0.2500  0.5000
Ag  0.2500  0.7500  0.5000
Ag  0.7500  0.2500  0.5000
Ag  0.7500  0.7500  0.5000


A plane-wave DFT calculation with PBEsol was carried out for crystalline ZnCdAg at its relaxed geometry.

Excess energy over the best structure of this formula in the dataset: 0.1 kJ per mole of atoms
E_tot: -2.047 eV per atom
Magnetization: 0.000 Bohr magnetons per cell
Density of states at the Fermi level: 1.256 states/eV/cell
ΔE_f: -0.017 eV/atom

a b c (Å): 3.0721 3.5499 9.2072
angles (deg): 90.00 90.00 90.00
Atoms (fractional coordinates):
Zn  0.0000  0.0000  0.0000
Zn  0.5000  0.5000  0.5000
Cd  0.0000  0.0000  0.6727
Cd  0.5000  0.5000  0.1727
Ag  0.0000  0.0000  0.3543
Ag  0.5000  0.5000  0.8543